# 1
The following is a PBE-GGA calculation of a relaxed KNa4Tl2In crystal, from Alexandria.

Values from the calculation:
- Formation enthalpy at 0 K: -60 kJ/mol of formula units
- Total magnetic moment: 0.00 μB/f.u.

```
8
Lattice="-2.7295 -3.2819 1.6128 -0.6063 -4.6507 -4.0345 6.1752 -5.2285 6.2668" Properties=species:S:1:pos:R:3 pbc="T T T"
K 1.4197 -6.5806 1.9226
Na 3.7397 -4.3582 3.9159
Na 4.2653 -7.6202 4.6229
Na -0.9003 -8.8029 -0.0707
Na -1.4259 -5.5409 -0.7778
Tl 2.4707 -10.0981 2.9987
Tl 0.3687 -3.0630 0.8464
In 0.0000 0.0000 0.0000
```



# 2
The following is a PBE-GGA calculation of a relaxed K2NaTl2In crystal, from Alexandria.

Values from the calculation:
- Formation enthalpy at 0 K: -51 kJ/mol of formula units
- Total magnetic moment: 0.00 μB/f.u.

```
12
Lattice="-6.3472 1.3479 -2.7087 -2.7405 -4.7330 4.0665 3.1323 8.0850 5.8099" Properties=species:S:1:pos:R:3 pbc="T T T"
K -1.9391 2.5615 1.6745
K -4.0164 2.1384 5.4932
K 0.8191 3.7690 4.9387
K -6.7745 0.9309 2.2290
Na -2.0554 -3.5497 3.0499
Na -0.6851 -1.1832 1.0166
Tl -4.8665 2.4396 -0.4402
Tl -3.5025 -0.5076 2.7599
Tl -2.4530 5.2075 4.4079
Tl -1.0889 2.2604 7.6080
In -5.2290 -2.8758 1.6955
In -3.8587 -0.5093 -0.3377
```



# 3
The following is a PBE-GGA calculation of a relaxed K2Na6TlIn crystal, from Alexandria.

Values from the calculation:
- Formation enthalpy at 0 K: 30 kJ/mol of formula units
- Total magnetic moment: 0.00 μB/f.u.

```
10
Lattice="8.6065 -0.0005 0.0000 0.0005 8.6065 0.0000 4.3035 4.3030 6.0858" Properties=species:S:1:pos:R:3 pbc="T T T"
K 4.3038 8.6063 3.0429
K 8.6068 4.3028 3.0429
Na 2.1531 6.4537 0.0000
Na 6.4541 6.4533 0.0000
Na 4.3035 4.3030 3.0412
Na 6.4539 2.1524 0.0000
Na 2.1530 2.1527 0.0000
Na 8.6070 8.6060 3.0446
Tl 4.3035 4.3030 0.0000
In 0.0000 0.0000 0.0000
```



Final energy? In order: -14.462, -23.024, -14.899 eV per cell.